Material: Sc3GeH
Method: DFT, PBE
State: relaxed

Computed properties:
Crystal system = monoclinic
DFT total energy = -5.869 eV per atom
ΔE to the lowest computed polymorph = 0.00 eV per formula unit

Cell lengths 6.340, 3.823, 7.548 Å; angles 90.00, 103.88, 90.00 degrees
Space group P2_1/m (No. 11)
Symmetry-distinct sites (fractional):
Sc  0.078  0.250  0.356 (multiplicity 2)
Sc  0.263  0.250  0.938 (multiplicity 2)
Sc  0.406  0.750  0.633 (multiplicity 2)
Ge  0.294  0.750  0.207 (multiplicity 2)
H  0.180  0.250  0.645 (multiplicity 2)


Material: CsGaNF2
Method: DFT, PBE
State: relaxed

Computed properties:
Crystal system = tetragonal
DFT total energy = -3.174 eV per atom
Formation energy (no corrections) = 0.02 eV/atom

Cell lengths 5.343, 5.343, 4.770 Å; angles 90.00, 90.00, 90.00 degrees
Space group P4/mmm (No. 123)
Symmetry-distinct sites (fractional):
Cs  0.000  0.000  0.000 (multiplicity 1)
Ga  0.500  0.500  0.500 (multiplicity 1)
N  0.000  0.000  0.500 (multiplicity 1)
F  0.000  0.500  0.000 (multiplicity 2)


Material: Sm6As4Pb
Method: DFT, PBE
State: relaxed

Computed properties:
Crystal system = orthorhombic
DFT total energy = -5.845 eV per atom
Formation enthalpy at 0 K = -1.243 eV per atom

Cell lengths 4.223, 13.913, 21.452 Å; angles 90.00, 90.00, 90.00 degrees
Space group Cmcm (No. 63)
Symmetry-distinct sites (fractional):
Sm  0.000  0.000  0.000 (multiplicity 4)
Sm  0.000  0.166  0.250 (multiplicity 4)
Sm  0.000  0.272  0.582 (multiplicity 8)
Sm  0.000  0.459  0.160 (multiplicity 8)
As  0.000  0.092  0.125 (multiplicity 8)
As  0.000  0.362  0.042 (multiplicity 8)
Pb  0.000  0.163  0.750 (multiplicity 4)


Material: NiHg3Rh
Method: DFT, PBE
State: relaxed

Computed properties:
Crystal system = cubic
DFT total energy = -1.950 eV per atom
Formation enthalpy at 0 K = 0.857 eV per atom
ΔE to the lowest computed polymorph = 0.66 eV per formula unit

Cell lengths 5.185, 5.185, 5.185 Å; angles 90.00, 90.00, 90.00 degrees
Space group Pm-3m (No. 221)
Symmetry-distinct sites (fractional):
Ni  0.000  0.000  0.000 (multiplicity 1)
Hg  0.000  0.500  0.500 (multiplicity 3)
Rh  0.500  0.500  0.500 (multiplicity 1)


| no. | magnetic moment (μB per formula unit) |
| --- | --- |
| 1 | 0.90 |
| 2 | 2.01 |
| 3 | 0.85 |
| 4 | 0.96 |